1.
La2TaSe: relaxed, PBE-GGA.

Summary:
- DOS at the Fermi energy (states/eV per atom) = 1.110
- energy relative to the elements, uncorrected (kJ/mol of formula units) = -116
- electronic total energy (eV/f.u.) = -26.39
- V (Å³ per cell) = 201.1

Cell: 6.618 8.470 3.588 Å, 90.00 90.00 90.00°
Space group Cmmm (No. 65)
Symmetry-distinct sites (fractional):
La (0.250, 0.250, 0.000)
Ta (0.000, 0.000, 0.500)
Se (0.000, 0.500, 0.500)


2.
La2TaSe: relaxed, PBE-GGA.

Summary:
- DOS at the Fermi energy (states/eV per atom) = 1.378
- energy relative to the elements, uncorrected (kJ/mol of formula units) = 34
- electronic total energy (eV/f.u.) = -24.84
- V (Å³ per cell) = 433.6

Cell: 8.205 8.205 6.442 Å, 90.00 90.00 90.00°
Space group I-42d (No. 122)
Symmetry-distinct sites (fractional):
La (0.246, 0.250, 0.125)
Ta (0.000, 0.000, 0.500)
Se (0.000, 0.000, 0.000)


3.
LaTaSe2: relaxed, PBE-GGA.

Summary:
- DOS at the Fermi energy (states/eV per atom) = 0.000
- energy relative to the elements, uncorrected (kJ/mol of formula units) = -298
- electronic total energy (eV/f.u.) = -26.84
- V (Å³ per cell) = 334.8
- relative energy among the computed polymorphs (kJ per mole of atoms) = 13.62

Cell: 6.943 6.943 6.943 Å, 90.00 90.00 90.00°
Space group Fm-3m (No. 225)
Symmetry-distinct sites (fractional):
La (0.000, 0.000, 0.000)
Ta (0.000, 0.000, 0.500)
Se (0.250, 0.250, 0.250)


4.
LaTaSe2: relaxed, PBE-GGA.

Summary:
- DOS at the Fermi energy (states/eV per atom) = 0.845
- energy relative to the elements, uncorrected (kJ/mol of formula units) = -335
- electronic total energy (eV/f.u.) = -27.23
- V (Å³ per cell) = 187.9
- relative energy among the computed polymorphs (kJ per mole of atoms) = 4.26

Cell: 4.993 3.632 10.359 Å, 90.00 90.00 90.00°
Space group Amm2 (No. 38)
Symmetry-distinct sites (fractional):
La (0.000, 0.000, 0.000)
Ta (0.500, 0.000, 0.265)
Se (0.000, 0.000, 0.280)
Se (0.500, 0.000, 0.570)


5.
LaTaSe2: relaxed, PBE-GGA.

Summary:
- DOS at the Fermi energy (states/eV per atom) = 0.759
- energy relative to the elements, uncorrected (kJ/mol of formula units) = -235
- electronic total energy (eV/f.u.) = -26.18
- V (Å³ per cell) = 301.9
- relative energy among the computed polymorphs (kJ per mole of atoms) = 29.49

Cell: 3.4919 3.4919 28.5893 Å, 90.00 90.00 120.00°
Space group R-3m (No. 166, hexagonal axes)
Symmetry-distinct sites (fractional):
La (0.0000, 0.0000, 0.0000)
Ta (0.0000, 0.0000, 0.5000)
Se (0.0000, 0.0000, 0.1075)


6.
La2TaSe: relaxed, PBE-GGA.

Summary:
- DOS at the Fermi energy (states/eV per atom) = 0.646
- energy relative to the elements, uncorrected (kJ/mol of formula units) = -140
- electronic total energy (eV/f.u.) = -26.64
- V (Å³ per cell) = 211.9

Cell: 4.698 5.201 8.675 Å, 90.00 90.00 90.00°
Space group Cmmm (No. 65)
Symmetry-distinct sites (fractional):
La (0.000, 0.000, 0.236)
Ta (0.000, 0.500, 0.500)
Se (0.000, 0.500, 0.000)


7.
La2TaSe: relaxed, PBE-GGA.

Summary:
- DOS at the Fermi energy (states/eV per atom) = 0.486
- energy relative to the elements, uncorrected (kJ/mol of formula units) = -139
- electronic total energy (eV/f.u.) = -26.64
- V (Å³ per cell) = 106.0

Cell: 3.503 3.503 8.634 Å, 90.00 90.00 90.00°
Space group P4/mmm (No. 123)
Symmetry-distinct sites (fractional):
La (0.000, 0.000, 0.236)
Ta (0.500, 0.500, 0.500)
Se (0.500, 0.500, 0.000)


8.
LaTaSe4: relaxed, PBE-GGA.

Summary:
- DOS at the Fermi energy (states/eV per atom) = 0.839
- energy relative to the elements, uncorrected (kJ/mol of formula units) = 216
- electronic total energy (eV/f.u.) = -28.48
- V (Å³ per cell) = 551.3
- relative energy among the computed polymorphs (kJ per mole of atoms) = 145.95

Cell: 8.199 8.199 8.199 Å, 90.00 90.00 90.00°
Space group F-43m (No. 216)
Symmetry-distinct sites (fractional):
La (0.000, 0.000, 0.000)
Ta (0.250, 0.250, 0.250)
Se (0.124, 0.124, 0.624)


9.
LaTaSe3: relaxed, PBE-GGA.

Summary:
- DOS at the Fermi energy (states/eV per atom) = 0.505
- energy relative to the elements, uncorrected (kJ/mol of formula units) = -637
- electronic total energy (eV/f.u.) = -33.84
- V (Å³ per cell) = 490.2
- relative energy among the computed polymorphs (kJ per mole of atoms) = 0.00

Cell: 15.179 3.786 8.552 Å, 90.00 94.08 90.00°
Space group C2/m (No. 12)
Symmetry-distinct sites (fractional):
La (0.103, 0.000, 0.393)
Ta (0.208, 0.500, 0.878)
Se (0.058, 0.500, 0.671)
Se (0.125, 0.000, 0.025)
Se (0.249, 0.000, 0.670)


10.
La2TaSe: relaxed, PBE-GGA.

Summary:
- DOS at the Fermi energy (states/eV per atom) = 1.583
- energy relative to the elements, uncorrected (kJ/mol of formula units) = 75
- electronic total energy (eV/f.u.) = -24.42
- V (Å³ per cell) = 397.8

Cell: 7.354 7.354 7.354 Å, 90.00 90.00 90.00°
Space group F-43m (No. 216)
Symmetry-distinct sites (fractional):
La (0.000, 0.000, 0.000)
La (0.250, 0.250, 0.250)
Ta (0.000, 0.000, 0.500)
Se (0.250, 0.250, 0.750)


11.
LaTaSe2: relaxed, PBE-GGA.

Summary:
- DOS at the Fermi energy (states/eV per atom) = 0.972
- energy relative to the elements, uncorrected (kJ/mol of formula units) = -353
- electronic total energy (eV/f.u.) = -27.40
- V (Å³ per cell) = 180.0
- relative energy among the computed polymorphs (kJ per mole of atoms) = 0.00

Cell: 7.804 3.831 6.328 Å, 90.00 107.88 90.00°
Space group C2/m (No. 12)
Symmetry-distinct sites (fractional):
La (0.000, 0.000, 0.000)
Ta (0.000, 0.500, 0.500)
Se (0.237, 0.000, 0.702)


12.
LaTaSe: relaxed, PBE-GGA.

Summary:
- DOS at the Fermi energy (states/eV per atom) = 0.934
- energy relative to the elements, uncorrected (kJ/mol of formula units) = 246
- electronic total energy (eV/f.u.) = -17.72
- V (Å³ per cell) = 380.1
- relative energy among the computed polymorphs (kJ per mole of atoms) = 121.99

Cell: 7.244 7.244 7.244 Å, 90.00 90.00 90.00°
Space group F-43m (No. 216)
Symmetry-distinct sites (fractional):
La (0.000, 0.000, 0.000)
Ta (0.250, 0.250, 0.250)
Se (0.250, 0.250, 0.750)


13.
LaTaSe: relaxed, PBE-GGA.

Summary:
- DOS at the Fermi energy (states/eV per atom) = 0.871
- energy relative to the elements, uncorrected (kJ/mol of formula units) = 39
- electronic total energy (eV/f.u.) = -19.86
- V (Å³ per cell) = 305.4
- relative energy among the computed polymorphs (kJ per mole of atoms) = 53.21

Cell: 6.734 6.734 6.734 Å, 90.00 90.00 90.00°
Space group F-43m (No. 216)
Symmetry-distinct sites (fractional):
La (0.000, 0.000, 0.000)
Ta (0.000, 0.000, 0.500)
Se (0.250, 0.250, 0.750)


14.
La2TaSe: relaxed, PBE-GGA.

Summary:
- DOS at the Fermi energy (states/eV per atom) = 1.118
- energy relative to the elements, uncorrected (kJ/mol of formula units) = -154
- electronic total energy (eV/f.u.) = -26.79
- V (Å³ per cell) = 213.6

Cell: 4.633 4.059 11.356 Å, 90.00 90.00 90.00°
Space group Amm2 (No. 38)
Symmetry-distinct sites (fractional):
La (0.000, 0.000, 0.000)
La (0.500, 0.000, 0.286)
Ta (0.000, 0.000, 0.718)
Se (0.500, 0.000, 0.573)


15.
La2TaSe: relaxed, PBE-GGA.

Summary:
- DOS at the Fermi energy (states/eV per atom) = 1.011
- energy relative to the elements, uncorrected (kJ/mol of formula units) = -74
- electronic total energy (eV/f.u.) = -25.96
- V (Å³ per cell) = 324.1

Cell: 3.5739 3.5739 29.2975 Å, 90.00 90.00 120.00°
Space group R3m (No. 160, hexagonal axes)
Symmetry-distinct sites (fractional):
La (0.0000, 0.0000, 0.0000)
La (0.0000, 0.0000, 0.2234)
Ta (0.0000, 0.0000, 0.7540)
Se (0.0000, 0.0000, 0.4768)